No. 1
An optimized crystal structure of Dy2Tl2Cd, computed with GGA-PBE.

```
Dy2Tl2Cd
1.0
4.445 0.000 0.000
0.000 7.823 0.000
0.000 0.000 7.823
Dy Cd Tl
4 2 4
Direct
0.500 0.168 0.668 Dy
0.500 0.832 0.332 Dy
0.500 0.668 0.832 Dy
0.500 0.332 0.168 Dy
0.000 0.500 0.500 Cd
0.000 0.000 0.000 Cd
0.000 0.364 0.864 Tl
0.000 0.864 0.636 Tl
0.000 0.136 0.364 Tl
0.000 0.636 0.136 Tl
```

Values from the calculation:
The excess energy over the best structure of this formula in the dataset comes out at 0.2 kJ/mol of atoms. The density of states at the Fermi level is 7.2 states/eV per cell. The energy of formation comes out at -0.27 eV/atom. The spin magnetization is 0.000 μB/atom.


No. 2
An optimized crystal structure of Dy4TlCd2, computed with GGA-PBE.

```
Dy4TlCd2
1.0
5.005 0.000 1.564
2.258 4.467 1.564
-0.056 -0.034 8.970
Dy Cd Tl
4 2 1
Direct
0.130 0.130 0.610 Dy
0.870 0.870 0.390 Dy
0.384 0.384 0.849 Dy
0.616 0.616 0.151 Dy
0.253 0.253 0.242 Cd
0.747 0.747 0.758 Cd
0.000 0.000 0.000 Tl
```

Values from the calculation:
The excess energy over the best structure of this formula in the dataset comes out at 0.0 kJ/mol of atoms. The density of states at the Fermi level is 9.1 states/eV per cell. The energy of formation comes out at -0.15 eV/atom. The spin magnetization is 0.001 μB/atom.


No. 3
An optimized crystal structure of DyTlCd, computed with GGA-PBE.

```
DyTlCd
1.0
4.944 0.000 0.000
2.472 4.282 0.000
2.472 1.427 4.037
Cd Dy Tl
1 1 1
Direct
0.500 0.500 0.500 Cd
0.000 0.000 0.000 Dy
0.250 0.250 0.250 Tl
```

Values from the calculation:
The density of states at the Fermi level is 0.4 states/eV per cell. The energy of formation comes out at -0.18 eV/atom. The spin magnetization is 0.000 μB/atom.


No. 4
An optimized crystal structure of Dy2TlCd, computed with GGA-PBE.

```
Dy2TlCd
1.0
5.327 0.000 0.000
2.664 4.613 0.000
2.664 1.538 4.350
Cd Tl Dy
1 1 2
Direct
0.500 0.500 0.500 Cd
0.000 0.000 0.000 Tl
0.750 0.750 0.750 Dy
0.250 0.250 0.250 Dy
```

Values from the calculation:
The excess energy over the best structure of this formula in the dataset comes out at 0.0 kJ/mol of atoms. The density of states at the Fermi level is 4.5 states/eV per cell. The energy of formation comes out at -0.34 eV/atom. The spin magnetization is 0.010 μB/atom.


No. 5
An optimized crystal structure of Dy6Tl2Cd, computed with GGA-PBE.

```
Dy6Tl2Cd
1.0
5.160 0.000 -0.197
0.000 7.301 0.000
-2.281 -3.651 7.853
Dy Tl Cd
6 2 1
Direct
0.500 0.244 0.000 Dy
0.835 0.588 0.670 Dy
0.165 0.412 0.330 Dy
0.165 0.918 0.330 Dy
0.835 0.082 0.670 Dy
0.500 0.756 0.000 Dy
0.333 0.333 0.666 Tl
0.667 0.667 0.334 Tl
0.000 0.000 0.000 Cd
```

Values from the calculation:
The density of states at the Fermi level is 13.1 states/eV per cell. The energy of formation comes out at 0.01 eV/atom. The spin magnetization is 0.000 μB/atom.


No. 6
An optimized crystal structure of DyTlCd4, computed with GGA-PBE.

```
DyTlCd4
1.0
-4.226 -1.379 -3.988
-3.677 -4.596 1.014
-5.748 1.000 1.274
Cd Dy Tl
4 1 1
Direct
0.625 0.126 0.625 Cd
0.625 0.625 0.625 Cd
0.625 0.625 0.126 Cd
0.126 0.625 0.625 Cd
0.250 0.250 0.250 Dy
0.000 0.000 0.000 Tl
```

Values from the calculation:
The excess energy over the best structure of this formula in the dataset comes out at 8.4 kJ/mol of atoms. The density of states at the Fermi level is 3.5 states/eV per cell. The energy of formation comes out at -0.08 eV/atom. The spin magnetization is 0.000 μB/atom.


No. 7
An optimized crystal structure of Dy6Tl5Cd, computed with GGA-PBE.

```
Dy6Tl5Cd
1.0
-5.979 -6.310 4.607
2.239 0.058 6.066
-2.378 4.256 4.283
Cd Dy Tl
1 6 5
Direct
0.000 0.000 0.000 Cd
0.752 0.414 0.668 Dy
0.248 0.586 0.332 Dy
0.750 0.752 0.000 Dy
0.248 0.918 0.668 Dy
0.752 0.082 0.332 Dy
0.250 0.248 0.000 Dy
0.500 0.831 0.337 Tl
0.500 0.169 0.663 Tl
0.500 0.500 0.000 Tl
0.000 0.335 0.331 Tl
0.000 0.665 0.669 Tl
```

Values from the calculation:
The excess energy over the best structure of this formula in the dataset comes out at 9.4 kJ/mol of atoms. The density of states at the Fermi level is 7.2 states/eV per cell. The energy of formation comes out at -0.25 eV/atom. The spin magnetization is 0.000 μB/atom.


No. 8
An optimized crystal structure of Dy5TlCd4, computed with GGA-PBE.

```
Dy5TlCd4
1.0
3.751 0.000 0.000
0.000 3.751 0.000
0.000 0.000 18.797
Dy Cd Tl
5 4 1
Direct
0.500 0.500 0.896 Dy
0.500 0.500 0.699 Dy
0.500 0.500 0.500 Dy
0.500 0.500 0.104 Dy
0.500 0.500 0.301 Dy
0.000 0.000 0.796 Cd
0.000 0.000 0.204 Cd
0.000 0.000 0.600 Cd
0.000 0.000 0.400 Cd
0.000 0.000 0.000 Tl
```

Values from the calculation:
The density of states at the Fermi level is 10.9 states/eV per cell. The energy of formation comes out at -0.32 eV/atom. The spin magnetization is 0.000 μB/atom.


No. 9
An optimized crystal structure of Dy6TlCd, computed with GGA-PBE.

```
Dy6TlCd
1.0
0.511 -4.997 -0.631
2.793 0.809 -4.145
9.236 -1.968 2.747
Dy Cd Tl
6 1 1
Direct
0.751 0.751 0.498 Dy
0.385 0.885 0.230 Dy
0.249 0.249 0.502 Dy
0.615 0.115 0.770 Dy
0.885 0.385 0.230 Dy
0.115 0.615 0.770 Dy
0.000 0.000 0.000 Cd
0.500 0.500 0.000 Tl
```

Values from the calculation:
The density of states at the Fermi level is 9.4 states/eV per cell. The energy of formation comes out at -0.16 eV/atom. The spin magnetization is 0.000 μB/atom.


No. 10
An optimized crystal structure of DyTlCd, computed with GGA-PBE.

```
DyTlCd
1.0
-1.675 -2.091 2.439
0.822 -3.979 -2.847
3.332 1.329 3.427
Tl Cd Dy
1 1 1
Direct
0.228 0.333 0.667 Tl
0.114 0.000 0.000 Cd
0.658 0.667 0.333 Dy
```

Values from the calculation:
The density of states at the Fermi level is 2.1 states/eV per cell. The energy of formation comes out at -0.25 eV/atom. The spin magnetization is 0.000 μB/atom.


No. 11
An optimized crystal structure of Dy2TlCd, computed with GGA-PBE.

```
Dy2TlCd
1.0
-0.371 -3.233 1.768
2.817 -1.361 1.982
-2.447 3.129 9.089
Dy Cd Tl
2 1 1
Direct
0.250 0.250 0.250 Dy
0.750 0.750 0.750 Dy
0.000 0.000 0.000 Cd
0.500 0.500 0.500 Tl
```

Values from the calculation:
The excess energy over the best structure of this formula in the dataset comes out at 12.9 kJ/mol of atoms. The density of states at the Fermi level is 3.3 states/eV per cell. The energy of formation comes out at -0.20 eV/atom. The spin magnetization is 0.000 μB/atom.


No. 12
An optimized crystal structure of Dy7Tl4Cd, computed with GGA-PBE.

```
Dy7Tl4Cd
1.0
-5.587 -0.353 1.019
-4.039 -3.717 -7.541
-1.940 -6.970 2.836
Dy Tl Cd
7 4 1
Direct
0.500 0.000 0.000 Dy
0.339 0.592 0.730 Dy
0.070 0.672 0.188 Dy
0.785 0.873 0.556 Dy
0.930 0.328 0.812 Dy
0.661 0.408 0.270 Dy
0.215 0.127 0.444 Dy
0.432 0.776 0.361 Tl
0.568 0.224 0.639 Tl
0.292 0.338 0.078 Tl
0.708 0.662 0.922 Tl
0.000 0.000 0.000 Cd
```

Values from the calculation:
The density of states at the Fermi level is 13.3 states/eV per cell. The energy of formation comes out at -0.05 eV/atom. The spin magnetization is 0.092 μB/atom.


Q: Look up the spin magnetization of the tenth one.
A: 0.000 μB/atom